Below is KSiO2 after structural relaxation, with properties calculated at the PBE level.

The space group is R-3m (No. 166, hexagonal axes) and the conventional cell measures 2.9916, 2.9916 and 20.9341 Å, with angles of 90.00, 90.00 and 120.00 degrees. Symmetry generates all atoms from K at (0.0000, 0.0000, 0.0000), Si at (0.0000, 0.0000, 0.5000) and O at (0.0000, 0.0000, 0.1243).

Its total energy is -5.299 eV per atom. Its magnetic moment is 0.672 Bohr magnetons per cell.

Below is KSiO after structural relaxation, with properties calculated at the PBE level.

The space group is Immm (No. 71) and the conventional cell measures 4.876, 5.733 and 11.452 Å, with angles of 90.00, 90.00 and 90.00 degrees. Symmetry generates all atoms from K at (0.000, 0.000, 0.164), Si at (0.233, 0.500, 0.000) and O at (0.000, 0.000, 0.395).

Its total energy is -4.753 eV per atom. Its magnetic moment is 0.000 Bohr magnetons per cell.

Below is K2Si4O9 after structural relaxation, with properties calculated at the PBE level.

The space group is P6_3/m (No. 176) and the conventional cell measures 6.7043, 6.7043 and 9.6341 Å, with angles of 90.00, 90.00 and 120.00 degrees. Symmetry generates all atoms from K at (0.3333, 0.6667, 0.0585), Si at (0.0000, 0.0000, 0.0000), Si at (0.1339, 0.3658, 0.7500), O at (0.0259, 0.2331, 0.6059) and O at (0.0733, 0.5802, 0.7500).

Its total energy is -7.187 eV per atom. The value obtained for the energy above the lowest structure with this stoichiometry is 44.5 kJ/mol of formula units. Its magnetic moment is 0.000 Bohr magnetons per cell.